VASP calculation (PBE+U) on a relaxed BaGd2NiO5 crystal.

Output
The total energy is -0.6698 Ry per atom. As for the calculated volume: 14.4 A^3/atom.

Unit cell a=3.827 b=5.872 c=11.557 alpha=90.00 beta=90.00 gamma=90.00
Space group Immm (No. 71)
One atom of each set of equivalent atoms:
Ba1 0.000 0.000 0.000 (multiplicity 2)
Gd1 0.000 0.500 0.203 (multiplicity 4)
Ni1 0.000 0.000 0.500 (multiplicity 2)
O1 0.000 0.241 0.352 (multiplicity 8)
O2 0.000 0.500 0.000 (multiplicity 2)